[1]
Here is a relaxed InTeRhO5 crystal from Alexandria via LeMat-Bulk. Energies are from GGA-PBE.

a = 7.318 Å, b = 10.331 Å, c = 6.869 Å
α = 90.00°, β = 112.10°, γ = 90.00°
Space group C2/c (No. 15)
Unique sites:
In 0.250 0.250 0.000 [4 per cell]
Te 0.000 0.023 0.250 [4 per cell]
Rh 0.000 0.494 0.250 [4 per cell]
O 0.000 0.318 0.750 [4 per cell]
O 0.020 0.148 0.059 [8 per cell]
O 0.184 0.480 0.076 [8 per cell]

Properties
Formation energy from raw total energies in eV/atom: -0.82

=====

[2]
Here is a relaxed NpSi2PbO8 crystal from Alexandria via LeMat-Bulk. Energies are from GGA-PBE.

a = 8.474 Å, b = 5.596 Å, c = 7.828 Å
α = 90.00°, β = 90.61°, γ = 90.00°
Space group C2/m (No. 12)
Unique sites:
Np 0.000 0.000 0.000 [2 per cell]
Si 0.142 0.500 0.769 [4 per cell]
Pb 0.000 0.000 0.500 [2 per cell]
O 0.033 0.257 0.804 [8 per cell]
O 0.217 0.500 0.585 [4 per cell]
O 0.230 0.000 0.065 [4 per cell]

Properties
Formation energy from raw total energies in eV/atom: -2.40

=====

[3]
Here is a relaxed CaRe3Rh crystal from Alexandria via LeMat-Bulk. Energies are from GGA-PBE.

a = 4.754 Å, b = 4.754 Å, c = 4.754 Å
α = 90.00°, β = 90.00°, γ = 90.00°
Space group Pm-3m (No. 221)
Unique sites:
Ca 0.000 0.000 0.000 [1 per cell]
Re 0.000 0.500 0.500 [3 per cell]
Rh 0.500 0.500 0.500 [1 per cell]

Properties
Energy above the most stable polymorph in this dataset in kJ/mol of formula units: 0.0
Energy relative to the elements in eV per atom: 1.79

=====

[4]
Here is a relaxed Zr2HOsAu crystal from Alexandria via LeMat-Bulk. Energies are from GGA-PBE.

a = 4.485 Å, b = 4.485 Å, c = 3.842 Å
α = 90.00°, β = 90.00°, γ = 90.00°
Space group P4/mmm (No. 123)
Unique sites:
Zr 0.000 0.500 0.000 [2 per cell]
H 0.000 0.000 0.000 [1 per cell]
Os 0.000 0.000 0.500 [1 per cell]
Au 0.500 0.500 0.500 [1 per cell]

Properties
DFT total energy in eV per cell: -36.6

=====

[5]
Here is a relaxed Pm5Hg crystal from Alexandria via LeMat-Bulk. Energies are from GGA-PBE.

a = 4.920 Å, b = 15.467 Å, c = 4.973 Å
α = 90.00°, β = 90.00°, γ = 90.00°
Space group Cmmm (No. 65)
Unique sites:
Pm 0.000 0.000 0.000 [2 per cell]
Pm 0.000 0.162 0.500 [4 per cell]
Pm 0.000 0.333 0.000 [4 per cell]
Hg 0.000 0.500 0.500 [2 per cell]

Properties
Energy above the most stable polymorph in this dataset in kJ/mol of formula units: 33.5
Energy relative to the elements in eV per atom: -0.09

=====

[6]
Here is a relaxed HgTeMo2 crystal from Alexandria via LeMat-Bulk. Energies are from GGA-PBE.

a = 4.042 Å, b = 4.042 Å, c = 20.008 Å
α = 90.00°, β = 90.00°, γ = 90.00°
Space group I-42d (No. 122)
Unique sites:
Hg 0.000 0.000 0.000 [4 per cell]
Te 0.000 0.000 0.500 [4 per cell]
Mo 0.239 0.250 0.625 [8 per cell]

Properties
Energy above the most stable polymorph in this dataset in kJ/mol of formula units: 235.2
Formation energy from raw total energies in eV/atom: 0.89

=====

It is found that the magnetization values, taken in the order of the records, are 0.000 0.979 0.022 0.000 0.000 0.000 μB/f.u..